The following is a PBE calculation of a relaxed Dy6Mg5Hg crystal, from Alexandria via LeMat-Bulk.

It has space group Cmmm (No. 65), with a = 5.3448 Å, b = 16.0671 Å, c = 7.4946 Å, α = 90.00°, β = 90.00° and γ = 90.00°. The asymmetric unit holds Dy at (0.0000, 0.0000, 0.2468), Dy at (0.0000, 0.3353, 0.2504), Mg at (0.0000, 0.1679, 0.5000), Mg at (0.0000, 0.1722, 0.0000), Mg at (0.0000, 0.5000, 0.5000) and Hg at (0.0000, 0.5000, 0.0000).

The value obtained for the raw total energy is -75.3 eV/cell. The value obtained for the density of states at the Fermi level is 1.306 states/eV per atom. The value obtained for the mass density is 6.69 g/cm³. The value obtained for the formation energy is -0.145 eV per atom.